Na2NdW3O12 after structural relaxation. Source: Alexandria, functional GGA+U.

Geometry as POSCAR:
```
Na2NdW3O12
1.0
7.7474 0.1458 0.1034
3.9529 6.6647 0.1034
3.9529 2.3009 6.2557
Na Nd W O
2 1 3 12
direct
0.6981 0.6981 0.6981
0.3019 0.3019 0.3019
0.0000 0.0000 0.0000
0.5000 0.0000 0.0000
0.0000 0.5000 0.0000
0.0000 0.0000 0.5000
0.2936 0.2936 0.9340
0.9136 0.9136 0.3754
0.3754 0.9136 0.9136
0.9340 0.2936 0.2936
0.9136 0.3754 0.9136
0.2936 0.9340 0.2936
0.7064 0.7064 0.0660
0.0864 0.0864 0.6246
0.6246 0.0864 0.0864
0.0660 0.7064 0.7064
0.0864 0.6246 0.0864
0.7064 0.0660 0.7064
```

Values from the calculation:
As for the symmetry: R-3m. The calculation puts the mass density at 4909 kg/m3. Its total DFT energy (no corrections) is -125.77 eV/f.u.